Crystalline CsK3Zn4Cl12 at its relaxed geometry, computed with GGA-PBE. Values from VASP.

Values from the calculation:
formation energy without anion corrections	-1460	meV/atom
energy	-3.030	eV/atom
magnetic moment	0.000	μB/atom

Structure (Quantum ESPRESSO input):
```
&SYSTEM
  ibrav = 0, nat = 20, ntyp = 4
/
ATOMIC_SPECIES
Cs 132.91 Cs.upf
K 39.10 K.upf
Zn 65.41 Zn.upf
Cl 35.45 Cl.upf
ATOMIC_POSITIONS crystal
Cs 0.000 0.000 0.000
K 0.000 0.547 0.453
K 0.453 0.000 0.547
K 0.547 0.453 0.000
Zn 0.052 0.500 0.948
Zn 0.500 0.500 0.500
Zn 0.500 0.948 0.052
Zn 0.948 0.052 0.500
Cl 0.048 0.651 0.804
Cl 0.096 0.904 0.500
Cl 0.196 0.349 0.952
Cl 0.349 0.952 0.196
Cl 0.353 0.647 0.500
Cl 0.500 0.096 0.904
Cl 0.500 0.353 0.647
Cl 0.647 0.500 0.353
Cl 0.651 0.804 0.048
Cl 0.804 0.048 0.651
Cl 0.904 0.500 0.096
Cl 0.952 0.196 0.349
CELL_PARAMETERS angstrom
7.453 4.303 4.044
-7.453 4.303 4.044
0.000 -8.606 4.044
```